Entry 1:
{"formula": "BaCr2Tc", "functional": "GGA-PBE", "state": "relaxed", "lattice_angstrom": [[2.101, 1.213, 6.106], [-2.101, 1.213, 6.106], [0.000, -2.426, 6.106]], "species": ["Ba", "Cr", "Cr", "Tc"], "frac_coords": [[0.000, 0.000, 0.000], [0.190, 0.190, 0.190], [0.810, 0.810, 0.810], [0.500, 0.500, 0.500]], "delta_e_f_kj_per_mol_atoms": 61.1, "e_tot_ev_per_cell": -29.0}

=====

Entry 2:
{"formula": "BaCr2Tc", "functional": "GGA-PBE", "state": "relaxed", "lattice_angstrom": [[3.232, 0.000, 0.000], [0.000, 3.215, 0.000], [-0.009, 0.000, 7.701]], "species": ["Ba", "Cr", "Cr", "Tc"], "frac_coords": [[0.000, 0.000, 0.000], [0.000, 0.000, 0.489], [0.500, 0.500, 0.363], [0.500, 0.500, 0.647]], "delta_e_f_kj_per_mol_atoms": 72.4, "e_tot_ev_per_cell": -28.5}

=====

Entry 3:
{"formula": "Ba2CrTc", "functional": "GGA-PBE", "state": "relaxed", "lattice_angstrom": [[3.451, 0.000, 0.000], [0.000, 3.606, 0.000], [-1.491, 0.000, 9.721]], "species": ["Ba", "Ba", "Cr", "Tc"], "frac_coords": [[0.000, 0.000, 0.000], [0.172, 0.500, 0.405], [0.425, 0.500, 0.727], [0.899, 0.000, 0.682]], "delta_e_f_kj_per_mol_atoms": 61.9, "e_tot_ev_per_cell": -21.3}

=====

Entry 4:
{"formula": "BaZrCr2Tc", "functional": "GGA-PBE", "state": "relaxed", "lattice_angstrom": [[4.547, 0.000, 0.000], [0.000, 4.547, 0.000], [0.000, 0.000, 5.706]], "species": ["Ba", "Zr", "Cr", "Cr", "Tc"], "frac_coords": [[0.000, 0.000, 0.000], [0.000, 0.000, 0.500], [0.000, 0.500, 0.500], [0.500, 0.000, 0.500], [0.500, 0.500, 0.000]], "delta_e_f_kj_per_mol_atoms": 227.4, "e_tot_ev_per_cell": -28.3}

=====

Entry 5:
{"formula": "BaCrTe3", "functional": "GGA-PBE", "state": "relaxed", "lattice_angstrom": [[6.434, 0.000, 0.000], [0.000, 6.434, 0.000], [0.000, 0.000, 6.434]], "species": ["Ba", "Cr", "Te", "Te", "Te"], "frac_coords": [[0.000, 0.000, 0.000], [0.500, 0.500, 0.500], [0.000, 0.000, 0.500], [0.000, 0.500, 0.000], [0.500, 0.000, 0.000]], "formation_energy_uncorrected_ev_per_atom": 0.685, "e_tot_ev_per_cell": -17.5}

=====

Entry 6:
{"formula": "BaCr3Te", "functional": "GGA-PBE", "state": "relaxed", "lattice_angstrom": [[5.380, 0.000, 0.000], [0.000, 5.380, 0.000], [0.000, 0.000, 5.380]], "species": ["Ba", "Cr", "Cr", "Cr", "Te"], "frac_coords": [[0.000, 0.000, 0.000], [0.000, 0.000, 0.500], [0.000, 0.500, 0.000], [0.500, 0.000, 0.000], [0.500, 0.500, 0.500]], "formation_energy_uncorrected_ev_per_atom": 2.128, "e_tot_ev_per_cell": -23.3}

=====

Entry 7:
{"formula": "BaCrTe3", "functional": "GGA-PBE", "state": "relaxed", "lattice_angstrom": [[14.354, 0.000, 0.000], [0.000, 6.707, 0.000], [0.000, 0.000, 6.529]], "species": ["Ba", "Ba", "Ba", "Ba", "Cr", "Cr", "Cr", "Cr", "Te", "Te", "Te", "Te", "Te", "Te", "Te", "Te", "Te", "Te", "Te", "Te"], "frac_coords": [[0.192, 0.016, 0.250], [0.192, 0.484, 0.750], [0.808, 0.516, 0.250], [0.808, 0.984, 0.750], [0.428, 0.750, 0.000], [0.428, 0.750, 0.500], [0.572, 0.250, 0.000], [0.572, 0.250, 0.500], [0.002, 0.750, 0.000], [0.002, 0.750, 0.500], [0.291, 0.554, 0.250], [0.291, 0.946, 0.750], [0.436, 0.088, 0.250], [0.436, 0.412, 0.750], [0.564, 0.588, 0.250], [0.564, 0.912, 0.750], [0.709, 0.054, 0.250], [0.709, 0.446, 0.750], [0.998, 0.250, 0.000], [0.998, 0.250, 0.500]], "formation_energy_uncorrected_ev_per_atom": -0.755, "e_tot_ev_per_cell": -99.0}

=====

Entry 8:
{"formula": "Ba2CrTe", "functional": "GGA-PBE", "state": "relaxed", "lattice_angstrom": [[2.452, 1.416, 8.690], [-2.452, 1.416, 8.690], [0.000, -2.832, 8.690]], "species": ["Ba", "Ba", "Cr", "Te"], "frac_coords": [[0.246, 0.246, 0.246], [0.754, 0.754, 0.754], [0.000, 0.000, 0.000], [0.500, 0.500, 0.500]], "formation_energy_uncorrected_ev_per_atom": -0.286, "e_tot_ev_per_cell": -17.8}

=====

Entry 9:
{"formula": "BaCr2Te", "functional": "GGA-PBE", "state": "relaxed", "lattice_angstrom": [[4.148, 0.000, 0.000], [0.000, 5.062, 0.000], [-0.331, 0.000, 5.475]], "species": ["Ba", "Cr", "Cr", "Te"], "frac_coords": [[0.000, 0.000, 0.000], [0.332, 0.500, 0.604], [0.668, 0.500, 0.396], [0.500, 0.000, 0.500]], "formation_energy_uncorrected_ev_per_atom": 0.488, "e_tot_ev_per_cell": -22.4}

=====

Entry 10:
{"formula": "BaCr2Te", "functional": "GGA-PBE", "state": "relaxed", "lattice_angstrom": [[2.214, 1.278, 6.037], [-2.214, 1.278, 6.037], [0.000, -2.557, 6.037]], "species": ["Ba", "Cr", "Cr", "Te"], "frac_coords": [[0.000, 0.000, 0.000], [0.176, 0.176, 0.176], [0.824, 0.824, 0.824], [0.500, 0.500, 0.500]], "formation_energy_uncorrected_ev_per_atom": 0.337, "e_tot_ev_per_cell": -23.0}

=====

Entry 11:
{"formula": "Ba2CrTe", "functional": "GGA-PBE", "state": "relaxed", "lattice_angstrom": [[0.000, 4.133, 4.133], [4.133, 0.000, 4.133], [4.133, 4.133, 0.000]], "species": ["Ba", "Ba", "Cr", "Te"], "frac_coords": [[0.000, 0.000, 0.000], [0.250, 0.250, 0.250], [0.500, 0.500, 0.500], [0.750, 0.750, 0.750]], "formation_energy_uncorrected_ev_per_atom": 0.092, "e_tot_ev_per_cell": -16.2}

=====

Entry 12:
{"formula": "BaCr2Te", "functional": "GGA-PBE", "state": "relaxed", "lattice_angstrom": [[0.000, 3.911, 3.911], [3.911, 0.000, 3.911], [3.911, 3.911, 0.000]], "species": ["Ba", "Cr", "Cr", "Te"], "frac_coords": [[0.000, 0.000, 0.000], [0.250, 0.250, 0.250], [0.500, 0.500, 0.500], [0.750, 0.750, 0.750]], "formation_energy_uncorrected_ev_per_atom": 0.543, "e_tot_ev_per_cell": -22.1}

=====

Entry 13:
{"formula": "Ba2CrTe", "functional": "GGA-PBE", "state": "relaxed", "lattice_angstrom": [[-2.472, 2.472, 6.230], [2.472, -2.472, 6.230], [2.472, 2.472, -6.230]], "species": ["Ba", "Ba", "Cr", "Te"], "frac_coords": [[0.000, 0.000, 0.000], [0.750, 0.250, 0.500], [0.250, 0.750, 0.500], [0.500, 0.500, 0.000]], "formation_energy_uncorrected_ev_per_atom": -0.213, "e_tot_ev_per_cell": -17.5}

=====

Entry 14:
{"formula": "Ba2CrTe", "functional": "GGA-PBE", "state": "relaxed", "lattice_angstrom": [[4.838, 0.000, 0.000], [0.000, 2.439, 6.523], [0.000, -2.439, 6.523]], "species": ["Ba", "Ba", "Cr", "Te"], "frac_coords": [[0.000, 0.000, 0.000], [0.500, 0.284, 0.284], [0.500, 0.573, 0.573], [0.000, 0.710, 0.710]], "formation_energy_uncorrected_ev_per_atom": -0.379, "e_tot_ev_per_cell": -18.1}

=====

Entry 15:
{"formula": "BaCr2Te", "functional": "GGA-PBE", "state": "relaxed", "lattice_angstrom": [[4.759, 0.000, 0.000], [0.000, 4.759, 0.000], [0.000, 0.000, 5.206]], "species": ["Ba", "Cr", "Cr", "Te"], "frac_coords": [[0.000, 0.000, 0.000], [0.000, 0.500, 0.500], [0.500, 0.000, 0.500], [0.500, 0.500, 0.000]], "formation_energy_uncorrected_ev_per_atom": 0.453, "e_tot_ev_per_cell": -22.5}

=====

Entry 16:
{"formula": "BaCr2Te", "functional": "GGA-PBE", "state": "relaxed", "lattice_angstrom": [[2.239, 1.293, 6.340], [-2.239, 1.293, 6.340], [0.000, -2.585, 6.340]], "species": ["Ba", "Cr", "Cr", "Te"], "frac_coords": [[0.000, 0.000, 0.000], [0.206, 0.206, 0.206], [0.536, 0.536, 0.536], [0.803, 0.803, 0.803]], "formation_energy_uncorrected_ev_per_atom": -0.120, "e_tot_ev_per_cell": -24.8}

=====

Entry 17:
{"formula": "BaCr2Te", "functional": "GGA-PBE", "state": "relaxed", "lattice_angstrom": [[-1.974, 2.783, 5.431], [1.974, -2.783, 5.431], [1.974, 2.783, -5.431]], "species": ["Ba", "Cr", "Cr", "Te"], "frac_coords": [[0.000, 0.000, 0.000], [0.292, 0.792, 0.500], [0.708, 0.208, 0.500], [0.500, 0.500, 0.000]], "formation_energy_uncorrected_ev_per_atom": 0.465, "e_tot_ev_per_cell": -22.5}

=====

Entry 18:
{"formula": "Ba2CrTe", "functional": "GGA-PBE", "state": "relaxed", "lattice_angstrom": [[2.998, -3.002, 0.000], [2.998, 3.002, 0.000], [0.000, 0.000, 9.341]], "species": ["Ba", "Ba", "Cr", "Te"], "frac_coords": [[0.000, 0.000, 0.000], [0.500, 0.500, 0.423], [0.500, 0.500, 0.785], [0.000, 0.000, 0.630]], "formation_energy_uncorrected_ev_per_atom": -0.113, "e_tot_ev_per_cell": -17.1}

=====

Entry 19:
{"formula": "BaCr2Te", "functional": "GGA-PBE", "state": "relaxed", "lattice_angstrom": [[3.861, 0.000, 0.000], [0.000, 3.861, 0.000], [0.000, 0.000, 6.899]], "species": ["Ba", "Cr", "Cr", "Te"], "frac_coords": [[0.000, 0.000, 0.000], [0.500, 0.500, 0.364], [0.500, 0.500, 0.636], [0.000, 0.000, 0.500]], "formation_energy_uncorrected_ev_per_atom": 0.603, "e_tot_ev_per_cell": -21.9}

=====

Entry 20:
{"formula": "BaCr2Te", "functional": "GGA-PBE", "state": "relaxed", "lattice_angstrom": [[3.878, 0.000, 0.000], [0.000, 3.878, 0.000], [0.000, 0.000, 7.540]], "species": ["Ba", "Cr", "Cr", "Te"], "frac_coords": [[0.000, 0.000, 0.000], [0.000, 0.000, 0.511], [0.500, 0.500, 0.307], [0.500, 0.500, 0.669]], "formation_energy_uncorrected_ev_per_atom": 0.373, "e_tot_ev_per_cell": -22.8}